The following is a PBE-GGA calculation of a geometry-optimized LaIn2CuBi structure, from the Alexandria database.

a = 4.9922 Å, b = 4.9922 Å, c = 5.6617 Å
α = 90.00°, β = 90.00°, γ = 90.00°
With the nearest neighbours (Å) after each atom.
Space group P4/mmm (No. 123)
Symmetry-distinct sites (fractional):
La1 0.0000 0.0000 0.0000 x1  2 Cu 2.83
In1 0.0000 0.5000 0.5000 x2  2 Cu 2.50
Cu1 0.0000 0.0000 0.5000 x1  4 In 2.50
Bi1 0.5000 0.5000 0.0000 x1  4 La 3.53, 8 In 3.77

DFT formation energy = -0.25 eV per atom
ρ = 7544 kg/m³

=====

The following is a PBE-GGA calculation of a geometry-optimized Tb2Tm2Ag3 structure, from the Alexandria database.

a = 5.0512 Å, b = 5.0533 Å, c = 8.7753 Å
α = 73.49°, β = 73.30°, γ = 60.12°
With the nearest neighbours (Å) after each atom.
Space group P-1 (No. 2)
Symmetry-distinct sites (fractional):
Tb1 0.1262 0.1275 0.1211 x2  5 Ag 3.11-3.14
Tm1 0.3761 0.3768 0.3715 x2  7 Ag 3.07-3.11
Ag1 0.0000 0.0000 0.5000 x1  6 Tm 3.10-3.11, 2 Tb 3.14
Ag2 0.2515 0.2505 0.7460 x2  4 Tm 3.07-3.10, 4 Tb 3.11-3.12

DFT formation energy = -0.17 eV per atom
ρ = 8870 kg/m³

=====

The following is a PBE-GGA calculation of a geometry-optimized CsAsI2O structure, from the Alexandria database.

a = 6.3073 Å, b = 6.3073 Å, c = 3.9549 Å
α = 90.00°, β = 90.00°, γ = 90.00°
With the nearest neighbours (Å) after each atom.
Space group P4/mmm (No. 123)
Symmetry-distinct sites (fractional):
Cs1 0.0000 0.0000 0.0000 x1  8 I 3.72, 2 Cs 3.95
As1 0.5000 0.5000 0.5000 x1  2 O 1.98
I1 0.0000 0.5000 0.5000 x2  2 As 3.15
O1 0.5000 0.5000 0.0000 x1  2 As 1.98

Energy relative to the elements, uncorrected = -0.73 eV per atom
ρ = 5041 kg/m³

=====

The following is a PBE-GGA calculation of a geometry-optimized Mg3HgPt structure, from the Alexandria database.

a = 14.5664 Å, b = 9.9659 Å, c = 5.8109 Å
α = 90.00°, β = 90.00°, γ = 90.00°
With the nearest neighbours (Å) after each atom.
Space group Cmce (No. 64)
Symmetry-distinct sites (fractional):
Mg1 0.0000 0.0319 0.2388 x8  3 Pt 2.62-2.71, 1 Mg 2.85
Mg2 0.1485 0.1881 0.6383 x16  2 Pt 2.67-2.71, 2 Hg 2.93-2.96
Hg1 0.2500 0.0668 0.2500 x8  6 Mg 2.93-3.01, 2 Hg 3.20
Pt1 0.0000 0.2256 0.9119 x8  7 Mg 2.62-2.71

DFT formation energy = -0.42 eV per atom
ρ = 7379 kg/m³

=====

The following is a PBE-GGA calculation of a geometry-optimized Pu2Ge2Au3 structure, from the Alexandria database.

a = 10.7742 Å, b = 4.3075 Å, c = 6.5170 Å
α = 90.00°, β = 98.12°, γ = 90.00°
With the nearest neighbours (Å) after each atom.
Space group C2/m (No. 12)
Symmetry-distinct sites (fractional):
Pu1 0.1188 0.0000 0.3306 x4  5 Ge 3.06-3.17, 6 Au 3.18-3.42
Ge1 0.0962 0.5000 0.6610 x4  3 Au 2.57-2.68, 1 Ge 2.73
Au1 0.0000 0.5000 0.0000 x2  2 Ge 2.57
Au2 0.2044 0.0000 0.8565 x4  2 Ge 2.68, 2 Au 2.93

DFT formation energy = -0.36 eV per atom
ρ = 13578 kg/m³

=====

The following is a PBE-GGA calculation of a geometry-optimized TbHo2I8 structure, from the Alexandria database.

a = 17.0522 Å, b = 9.4940 Å, c = 7.2869 Å
α = 90.00°, β = 90.74°, γ = 90.00°
With the nearest neighbours (Å) after each atom.
Space group C2/m (No. 12)
Symmetry-distinct sites (fractional):
Tb1 0.0000 0.0000 0.0000 x2  6 I 3.10-3.12
Ho1 0.1564 0.0000 0.3786 x4  4 I 2.82-2.95
I1 0.0678 0.2407 0.2410 x8  1 Ho 2.91, 1 Tb 3.10
I2 0.1567 0.0000 0.7830 x4  1 Ho 2.95, 1 Tb 3.12
I3 0.1837 0.5000 0.7138 x4  1 Ho 2.82

Energy relative to the elements, uncorrected = -1.21 eV per atom
ρ = 4234 kg/m³

=====

The following is a PBE-GGA calculation of a geometry-optimized Y2ZrBeFe structure, from the Alexandria database.

a = 5.0097 Å, b = 5.0097 Å, c = 4.6921 Å
α = 90.00°, β = 90.00°, γ = 90.00°
With the nearest neighbours (Å) after each atom.
Space group P4/mmm (No. 123)
Symmetry-distinct sites (fractional):
Y1 0.0000 0.5000 0.0000 x2  2 Be 2.50
Zr1 0.0000 0.0000 0.5000 x1  2 Be 2.35
Be1 0.0000 0.0000 0.0000 x1  2 Zr 2.35, 4 Y 2.50
Fe1 0.5000 0.5000 0.5000 x1  8 Y 3.43, 4 Zr 3.54

DFT formation energy = 0.85 eV per atom
ρ = 4708 kg/m³

=====

The following is a PBE-GGA calculation of a geometry-optimized Tb2HoTm3 structure, from the Alexandria database.

a = 17.5085 Å, b = 3.4620 Å, c = 13.9667 Å
α = 90.00°, β = 117.48°, γ = 90.00°
With the nearest neighbours (Å) after each atom.
Space group C2/m (No. 12)
Symmetry-distinct sites (fractional):
Tb1 0.1574 0.0000 0.4689 x4  5 Tm 3.37-3.65, 2 Ho 3.41-3.54, 4 Tb 3.42-3.46
Tb2 0.1805 0.5000 0.8830 x4  5 Tm 3.34-3.47, 4 Tb 3.46-3.50, 2 Ho 3.47
Ho1 0.0620 0.0000 0.6437 x4  4 Tb 3.41-3.54, 3 Ho 3.46-3.58, 4 Tm 3.62-3.69
Tm1 0.0395 0.5000 0.2113 x4  3 Tb 3.45-3.65, 8 Tm 3.46-3.65, 2 Ho 3.69
Tm2 0.0987 0.0000 0.0254 x4  6 Tm 3.19-3.52, 3 Tb 3.41-3.47
Tm3 0.2386 0.0000 0.2922 x4  4 Tb 3.34-3.44, 5 Tm 3.39-3.58, 2 Ho 3.62

DFT formation energy = 0.12 eV per atom
ρ = 8752 kg/m³